! PBE Ca5Sb2PI, optimized geometry; values from VASP
&SYSTEM
  ibrav = 0, nat = 9, ntyp = 4
/
ATOMIC_SPECIES
Ca 40.08 Ca.upf
Sb 121.76 Sb.upf
P 30.97 P.upf
I 126.90 I.upf
ATOMIC_POSITIONS angstrom
Ca 0.000 0.000 0.000
Ca 2.646 1.740 -2.264
Ca 2.646 1.740 2.264
Ca 0.000 2.124 5.455
Ca 0.000 2.124 9.982
Sb 0.000 0.000 3.193
Sb 0.000 0.000 12.244
P 2.646 0.000 0.000
I 0.000 3.865 0.000
CELL_PARAMETERS angstrom
-2.646 3.865 7.719
2.646 -3.865 7.719
2.646 3.865 -7.719
! - Symmetry: Immm (71)
! - Formation energy from raw total energies: -1.078 eV/atom
! - E: -34.9 eV per cell

***

! PBE CsSrAcO3, optimized geometry; values from VASP
&SYSTEM
  ibrav = 0, nat = 12, ntyp = 4
/
ATOMIC_SPECIES
Cs 132.91 Cs.upf
Sr 87.62 Sr.upf
Ac 227.00 Ac.upf
O 16.00 O.upf
ATOMIC_POSITIONS angstrom
Cs 0.906 0.965 2.024
Cs 7.337 2.895 8.465
Sr 1.299 0.965 5.809
Sr 6.945 2.895 4.679
Ac 3.383 2.895 9.000
Ac 4.860 0.965 1.488
O 1.023 2.895 4.431
O 2.129 0.965 8.137
O 3.262 2.895 0.870
O 4.981 0.965 9.619
O 6.115 2.895 2.351
O 7.221 0.965 6.058
CELL_PARAMETERS angstrom
8.330 0.000 0.000
0.000 3.860 0.000
-0.087 0.000 10.488
! - Density of states at the Fermi level: 0.0000 states/eV/atom
! - Symmetry: P2_1/m (11)
! - Formation energy from raw total energies: -2.406 eV/atom
! - E: -71.9 eV per cell

***

! PBE Fe2TeP, optimized geometry; values from VASP
&SYSTEM
  ibrav = 0, nat = 16, ntyp = 3
/
ATOMIC_SPECIES
Fe 55.84 Fe.upf
Te 127.60 Te.upf
P 30.97 P.upf
ATOMIC_POSITIONS angstrom
Fe 0.996 1.289 1.388
Fe 1.289 3.574 4.164
Fe 1.289 4.160 9.716
Fe 1.582 1.289 6.940
Fe 3.574 3.867 6.940
Fe 3.867 0.996 9.716
Fe 3.867 1.582 4.164
Fe 4.160 3.867 1.388
Te 0.000 0.000 5.552
Te 0.000 2.578 8.328
Te 2.578 0.000 2.776
Te 2.578 2.578 0.000
P 0.000 0.000 0.000
P 0.000 2.578 2.776
P 2.578 0.000 8.328
P 2.578 2.578 5.552
CELL_PARAMETERS angstrom
5.156 0.000 0.000
0.000 5.156 0.000
0.000 0.000 11.104
! - Density of states at the Fermi level: 0.6297 states/eV/atom
! - Symmetry: I-42d (122)
! - Formation energy from raw total energies: 0.151 eV/atom
! - E: -99.5 eV per cell
! - Energy relative to the lowest polymorph listed for this composition: 0.242 eV per atom